No. 1
DFT (PBE-GGA) results for a relaxed structure of Ba4NaTa3O12.

a = 7.252 Å, b = 7.252 Å, c = 7.252 Å
α = 109.47°, β = 109.47°, γ = 109.47°
Fractional positions:
Ba  0.500  0.000  0.000
O  0.250  0.500  0.750
O  0.000  0.271  0.271
O  0.729  0.729  0.000
O  0.750  0.500  0.250
Ta  0.000  0.500  0.500
O  0.729  0.000  0.729
Na  0.000  0.000  0.000
O  0.000  0.729  0.729
O  0.750  0.250  0.500
O  0.271  0.271  0.000
Ba  0.000  0.500  0.000
O  0.500  0.750  0.250
O  0.500  0.250  0.750
Ba  0.000  0.000  0.500
O  0.271  0.000  0.271
Ta  0.500  0.000  0.500
Ta  0.500  0.500  0.000
Ba  0.500  0.500  0.500
O  0.250  0.750  0.500

Calculated values
- energy relative to the elements, uncorrected (eV/atom) = -2.87
- total energy (eV per atom) = -8.08
- density of states at the Fermi level (states/eV/f.u.) = 0.0


No. 2
DFT (PBE-GGA) results for a relaxed structure of BaNa2TaO4.

a = 5.759 Å, b = 5.759 Å, c = 5.759 Å
α = 98.91°, β = 115.00°, γ = 115.00°
Fractional positions:
O  0.000  0.517  0.175
Na  0.500  0.750  0.250
O  0.342  0.825  0.825
Na  0.500  0.250  0.750
O  0.000  0.175  0.517
O  0.658  0.483  0.483
Ta  0.000  0.500  0.500
Ba  0.000  0.000  0.000

Calculated values
- energy relative to the elements, uncorrected (eV/atom) = -2.21
- total energy (eV per atom) = -6.74
- density of states at the Fermi level (states/eV/f.u.) = 2.1


No. 3
DFT (PBE-GGA) results for a relaxed structure of Ba2NaTaO5.

a = 4.059 Å, b = 6.400 Å, c = 7.234 Å
α = 116.25°, β = 106.29°, γ = 90.00°
Fractional positions:
O  0.380  0.097  0.761
O  0.620  0.336  0.239
Ta  0.500  0.000  0.000
Ba  0.224  0.224  0.447
Ba  0.776  0.776  0.553
O  0.000  0.000  0.000
Na  0.000  0.500  0.000
O  0.620  0.903  0.239
O  0.380  0.664  0.761

Calculated values
- energy relative to the elements, uncorrected (eV/atom) = -2.56
- total energy (eV per atom) = -7.21
- density of states at the Fermi level (states/eV/f.u.) = 0.0


Q: Among the records above, which one has the highest total energy?
A: BaNa2TaO4


Q: Which value of total energy does entry 1 give?
A: -8.08 eV per atom


What did the third record say?
DFT (PBE-GGA) results for a relaxed structure of Ba2NaTaO5.

a = 4.059 Å, b = 6.400 Å, c = 7.234 Å
α = 116.25°, β = 106.29°, γ = 90.00°
Fractional positions:
O  0.380  0.097  0.761
O  0.620  0.336  0.239
Ta  0.500  0.000  0.000
Ba  0.224  0.224  0.447
Ba  0.776  0.776  0.553
O  0.000  0.000  0.000
Na  0.000  0.500  0.000
O  0.620  0.903  0.239
O  0.380  0.664  0.761

Calculated values
- energy relative to the elements, uncorrected (eV/atom) = -2.56
- total energy (eV per atom) = -7.21
- density of states at the Fermi level (states/eV/f.u.) = 0.0


Q: Which value of total energy does entry 2 give?
A: -6.74 eV per atom